! PBE LaSc2Ta, relaxed; values from VASP
! spin magnetization: 0.00 μB per atom
! final energy: -7.045 eV per atom
&SYSTEM
  ibrav = 0, nat = 4, ntyp = 3
/
ATOMIC_SPECIES
La 138.91 La.upf
Sc 44.96 Sc.upf
Ta 180.95 Ta.upf
ATOMIC_POSITIONS angstrom
La 0.580 -1.131 2.966
Sc -3.913 1.175 7.948
Sc 0.419 2.110 2.407
Ta -1.957 0.588 3.975
CELL_PARAMETERS angstrom
-2.118 3.829 3.416
-1.796 -2.654 4.533
4.913 -0.196 -2.577


! PBE BeZnRh2, relaxed; values from VASP
! spin magnetization: 0.02 μB per atom
! E above lowest polymorph: 0.135 eV/atom
! final energy: -5.255 eV per atom
&SYSTEM
  ibrav = 0, nat = 4, ntyp = 3
/
ATOMIC_SPECIES
Be 9.01 Be.upf
Zn 65.41 Zn.upf
Rh 102.91 Rh.upf
ATOMIC_POSITIONS angstrom
Be 16.307 3.028 1.788
Zn 5.436 1.009 0.596
Rh 0.215 0.040 0.024
Rh 10.656 1.979 1.169
CELL_PARAMETERS angstrom
7.591 -0.026 -0.015
7.076 2.749 -0.015
7.076 1.314 2.415


! PBE KYZr, relaxed; values from VASP
! spin magnetization: 0.57 μB per atom
! E above lowest polymorph: 1.519 eV/atom
! final energy: -3.686 eV per atom
&SYSTEM
  ibrav = 0, nat = 3, ntyp = 3
/
ATOMIC_SPECIES
K 39.10 K.upf
Y 88.91 Y.upf
Zr 91.22 Zr.upf
ATOMIC_POSITIONS angstrom
K 8.069 4.659 3.294
Y 0.000 0.000 0.000
Zr 5.379 3.106 2.196
CELL_PARAMETERS angstrom
5.379 0.000 0.000
2.690 4.659 0.000
2.690 1.553 4.392


! PBE HfHN2F, relaxed; values from VASP
! spin magnetization: 0.34 μB per atom
! E above lowest polymorph: 0.283 eV/atom
! final energy: -6.266 eV per atom
&SYSTEM
  ibrav = 0, nat = 5, ntyp = 4
/
ATOMIC_SPECIES
H 1.01 H.upf
N 14.01 N.upf
Hf 178.49 Hf.upf
F 19.00 F.upf
ATOMIC_POSITIONS angstrom
H 2.100 2.100 2.082
N 0.000 2.100 0.000
N 2.100 0.000 0.000
Hf 0.000 0.000 0.000
F 0.000 0.000 2.082
CELL_PARAMETERS angstrom
4.200 0.000 0.000
0.000 4.200 0.000
0.000 0.000 4.164


! PBE HfZnAu2, relaxed; values from VASP
! spin magnetization: 0.00 μB per atom
! final energy: -4.821 eV per atom
&SYSTEM
  ibrav = 0, nat = 4, ntyp = 3
/
ATOMIC_SPECIES
Hf 178.49 Hf.upf
Zn 65.41 Zn.upf
Au 196.97 Au.upf
ATOMIC_POSITIONS angstrom
Hf -1.927 -1.029 3.554
Zn 0.336 -1.973 1.045
Au -3.469 1.448 3.847
Au -1.056 0.441 1.171
CELL_PARAMETERS angstrom
-1.357 -2.887 -0.137
2.028 -1.059 2.228
-4.525 1.889 5.018


! PBE Ba2CaNb, relaxed; values from VASP
! spin magnetization: 0.80 μB per atom
! E above lowest polymorph: 0.000 eV/atom
! final energy: -3.231 eV per atom
&SYSTEM
  ibrav = 0, nat = 4, ntyp = 3
/
ATOMIC_SPECIES
Nb 92.91 Nb.upf
Ca 40.08 Ca.upf
Ba 137.33 Ba.upf
ATOMIC_POSITIONS angstrom
Nb 1.599 -4.353 5.890
Ca 0.000 0.000 0.000
Ba 0.800 -2.176 2.945
Ba 2.399 -6.529 8.836
CELL_PARAMETERS angstrom
3.985 -4.042 2.292
1.204 -0.044 6.001
-1.991 -4.620 3.487


! PBE MgCo2Rh, relaxed; values from VASP
! spin magnetization: 0.98 μB per atom
! final energy: -5.781 eV per atom
&SYSTEM
  ibrav = 0, nat = 4, ntyp = 3
/
ATOMIC_SPECIES
Co 58.93 Co.upf
Mg 24.30 Mg.upf
Rh 102.91 Rh.upf
ATOMIC_POSITIONS angstrom
Co 1.679 0.526 3.917
Co 7.781 2.439 3.602
Mg 5.235 1.641 2.394
Rh 2.716 0.851 1.145
CELL_PARAMETERS angstrom
4.931 -0.013 0.394
4.041 2.826 0.394
1.581 0.495 3.950


! PBE Li12Cd6Ge, relaxed; values from VASP
! spin magnetization: 0.00 μB per atom
! final energy: -1.933 eV per atom
&SYSTEM
  ibrav = 0, nat = 19, ntyp = 3
/
ATOMIC_SPECIES
Li 6.94 Li.upf
Cd 112.41 Cd.upf
Ge 72.64 Ge.upf
ATOMIC_POSITIONS angstrom
Li -1.476 1.049 4.903
Li -3.590 -1.141 3.623
Li -3.862 2.059 2.857
Li -5.793 0.553 4.364
Li -3.679 2.743 5.644
Li -3.407 -0.457 6.410
Li -7.206 1.751 6.534
Li -1.521 1.914 1.233
Li -2.360 -0.896 1.061
Li -0.063 -0.149 2.733
Li -5.748 -0.312 8.033
Li -4.909 2.498 8.206
Cd -1.260 -1.792 5.010
Cd -2.035 1.612 7.681
Cd -5.625 -1.993 5.488
Cd -6.008 3.394 4.256
Cd -5.233 -0.010 1.586
Cd -1.644 3.595 3.778
Ge 0.000 0.000 0.000
CELL_PARAMETERS angstrom
-1.651 6.376 2.685
-6.801 -2.080 0.107
1.183 -2.694 6.475


! PBE CeZnCo, relaxed; values from VASP
! spin magnetization: 0.04 μB per atom
! final energy: -4.876 eV per atom
&SYSTEM
  ibrav = 0, nat = 3, ntyp = 3
/
ATOMIC_SPECIES
Zn 65.41 Zn.upf
Co 58.93 Co.upf
Ce 140.12 Ce.upf
ATOMIC_POSITIONS angstrom
Zn -2.224 2.102 4.120
Co -2.098 2.015 1.582
Ce -0.232 0.188 2.618
CELL_PARAMETERS angstrom
-0.777 -2.280 1.873
2.229 0.815 1.917
-4.259 4.126 0.769


! PBE PuSiSb2, relaxed; values from VASP
! spin magnetization: 1.63 μB per atom
! formation energy (no corrections): 1.273 eV/f.u.
! E above lowest polymorph: 0.537 eV/atom
! final energy: -6.682 eV per atom
&SYSTEM
  ibrav = 0, nat = 4, ntyp = 3
/
ATOMIC_SPECIES
Sb 121.76 Sb.upf
Si 28.09 Si.upf
Pu 244.00 Pu.upf
ATOMIC_POSITIONS angstrom
Sb 1.821 1.051 6.626
Sb 5.462 3.153 3.132
Si 3.641 2.102 4.879
Pu 0.000 0.000 0.000
CELL_PARAMETERS angstrom
3.641 0.000 0.000
1.821 3.153 0.000
1.821 1.051 9.759


! PBE ZrCrSe2, relaxed; values from VASP
! spin magnetization: 1.03 μB per atom
! formation energy (no corrections): -1.823 eV/f.u.
! E above lowest polymorph: 0.333 eV/atom
! final energy: -6.741 eV per atom
&SYSTEM
  ibrav = 0, nat = 8, ntyp = 3
/
ATOMIC_SPECIES
Cr 52.00 Cr.upf
Se 78.96 Se.upf
Zr 91.22 Zr.upf
ATOMIC_POSITIONS angstrom
Cr -0.338 -0.134 -4.221
Cr 1.197 -3.371 -6.367
Se -2.558 -1.292 -3.944
Se 1.493 -1.857 -4.376
Se -1.033 -4.533 -6.214
Se -1.485 -4.646 -10.302
Zr 0.000 0.000 0.000
Zr -2.988 -2.793 -6.050
CELL_PARAMETERS angstrom
-4.523 0.444 -3.904
3.847 -0.712 -4.538
-1.115 -5.896 -3.976


! PBE Sc2Zn3Ge, relaxed; values from VASP
! spin magnetization: 0.00 μB per atom
! E above lowest polymorph: 0.000 eV/atom
! final energy: -3.988 eV per atom
&SYSTEM
  ibrav = 0, nat = 12, ntyp = 3
/
ATOMIC_SPECIES
Sc 44.96 Sc.upf
Zn 65.41 Zn.upf
Ge 72.64 Ge.upf
ATOMIC_POSITIONS angstrom
Sc -0.190 3.628 2.834
Sc 2.498 3.783 -1.859
Sc 3.410 1.251 2.834
Sc 0.823 1.247 -0.613
Zn 3.111 0.781 5.769
Zn 3.724 1.710 -0.102
Zn 0.109 4.097 -0.102
Zn -0.504 3.168 5.769
Zn 2.706 4.098 3.389
Zn 0.515 0.780 2.278
Ge 1.042 1.578 4.610
Ge 2.179 3.300 1.057
CELL_PARAMETERS angstrom
5.261 0.138 -1.236
-1.940 4.892 -1.236
-0.100 -0.152 8.139